VASP calculation (GGA-PBE) on crystalline Tb4ZnPt3 at its relaxed geometry.

For the size of the total moment, the calculation gives 0.00 μB/cell. The calculation puts the energy relative to the elements at -1.0515 eV per atom.

It has space group Pmm2 (No. 25), with a = 3.788 Å, b = 4.496 Å, c = 10.719 Å, α = 90.00°, β = 90.00° and γ = 90.00°. The asymmetric unit holds Tb at (0.000, 0.000, 0.000), Tb at (0.000, 0.500, 0.270), Tb at (0.500, 0.000, 0.486), Tb at (0.500, 0.500, 0.773), Zn at (0.000, 0.000, 0.709), Pt at (0.000, 0.500, 0.557), Pt at (0.500, 0.000, 0.220) and Pt at (0.500, 0.500, 0.043).